DFT (PBE) results for a relaxed KBeTe2 crystal.

Calculated values
spin magnetization	0.00	μB per atom
E_form (uncorrected)	-0.14	eV/atom
uncorrected energy	-11.7	eV per cell

The structure in POSCAR format:
```
KBeTe2
1.0
5.990 0.904 0.000
4.401 4.164 0.000
0.000 0.000 9.253
K Te Be
1 2 1
direct
0.500 0.500 0.750
0.000 0.000 0.434
0.000 0.000 0.066
0.500 0.500 0.250
```